PrSmPd2 | Alexandria | PBE | optimized geometry; space-group type = No. 123; formation energy from the elements = -0.75 eV/atom; excess energy over the best structure of this formula in the dataset = 26 kJ/mol of formula units; total magnetic moment = 0.0 μB/f.u.
1.0
-3.156 0.432 1.547
2.166 -0.751 4.628
0.893 5.071 0.405
Pd Sm Pr
2 1 1
Direct
0.000 0.500 0.000
0.000 0.000 0.500
0.500 0.000 0.000
0.500 0.500 0.500